Model i:
Here is a relaxed TiCuNiPd crystal from Alexandria. Energies are from PBE.

Results
SG: No. 119
N(E_F), states/eV per cell: 1.92

Cell: 3.7936 3.7936 4.5800 Å, 114.48 114.47 90.00°
With the nearest neighbours (Å) after each atom.
Element x y z (fractional)
Ni: 0.2500 0.7500 0.5000  4 Ti 2.65, 4 Cu 2.65, 4 Pd 2.68
Ti: 0.5000 0.5000 0.0000  4 Ni 2.65, 4 Pd 2.65, 4 Cu 2.68
Cu: 0.0000 0.0000 0.0000  4 Ni 2.65, 4 Pd 2.65, 4 Ti 2.68
Pd: 0.7500 0.2500 0.5000  4 Ti 2.65, 4 Cu 2.65, 4 Ni 2.68

***

Model ii:
Here is a relaxed TiCuNiPd crystal from Alexandria. Energies are from PBE.

Results
SG: No. 216
N(E_F), states/eV per cell: 3.38

Cell: 4.2501 4.2501 4.2501 Å, 60.00 60.00 60.00°
With the nearest neighbours (Å) after each atom.
Element x y z (fractional)
Ti: 0.0000 0.0000 0.0000  4 Ni 2.60, 4 Pd 2.60
Pd: 0.2500 0.2500 0.2500  4 Ti 2.60, 4 Cu 2.60
Ni: 0.7500 0.7500 0.7500  4 Cu 2.60, 4 Ti 2.60
Cu: 0.5000 0.5000 0.5000  4 Ni 2.60, 4 Pd 2.60

***

model i ends up most stable, edging out the next structure by 91 meV per atom.

***

Model i:
Here is a relaxed PmCu2Ni4 crystal from Alexandria. Energies are from PBE.

Results
SG: No. 12
N(E_F), states/eV per cell: 8.80

Cell: 4.8775 5.0592 5.0592 Å, 76.32 61.07 61.07°
With the nearest neighbours (Å) after each atom.
Element x y z (fractional)
Ni: 0.3073 0.9998 0.3852  4 Ni 2.41-2.65, 4 Cu 2.58
Cu: 0.2499 0.4999 0.4999  2 Cu 2.44, 8 Ni 2.58
Cu: 0.7501 0.5001 0.5001  2 Cu 2.44, 8 Ni 2.58
Ni: 0.3073 0.3852 0.9998  4 Ni 2.41-2.65, 4 Cu 2.58
Ni: 0.6927 0.6148 0.0002  4 Ni 2.41-2.65, 4 Cu 2.58
Pm: 0.0000 0.0000 0.0000  12 Ni 2.72-2.98
Ni: 0.6927 0.0002 0.6148  4 Ni 2.41-2.65, 4 Cu 2.58

***

Model ii:
Here is a relaxed PmCu2Ni4 crystal from Alexandria. Energies are from PBE.

Results
SG: No. 139
N(E_F), states/eV per cell: 6.16

Cell: 5.5443 5.5443 5.5443 Å, 102.32 102.32 124.97°
With the nearest neighbours (Å) after each atom.
Element x y z (fractional)
Pm: 0.0000 0.0000 0.0000  8 Ni 3.00
Ni: 0.5000 0.2758 0.7758  2 Ni 2.20, 2 Cu 2.31
Ni: 0.2758 0.5000 0.7758  2 Ni 2.20, 2 Cu 2.31
Ni: 0.5000 0.7242 0.2242  2 Ni 2.20, 2 Cu 2.31
Cu: 0.2500 0.7500 0.5000  4 Ni 2.31, 2 Cu 2.56
Cu: 0.7500 0.2500 0.5000  4 Ni 2.31, 2 Cu 2.56
Ni: 0.7242 0.5000 0.2242  2 Ni 2.20, 2 Cu 2.31

***

model i ends up most stable, edging out the next structure by 512 meV per atom.

***

Model i:
Here is a relaxed Pm8CuNi2 crystal from Alexandria. Energies are from PBE.

Results
SG: No. 8
N(E_F), states/eV per cell: 15.39

Cell: 6.1356 7.6637 7.6637 Å, 114.27 99.49 99.49°
With the nearest neighbours (Å) after each atom.
Element x y z (fractional)
Cu: 0.1747 0.0088 0.0088  8 Pm 3.00-3.23
Pm: 0.5865 0.3498 0.0857  2 Ni 2.75-2.82
Pm: 0.9819 0.2121 0.7807  1 Cu 3.01, 2 Ni 3.26-3.32
Pm: 0.3661 0.9199 0.6539  2 Ni 2.77-2.86, 1 Cu 3.01
Pm: 0.1764 0.3704 0.3704  1 Cu 3.00, 2 Ni 3.13
Pm: 0.7977 0.6396 0.6396  2 Ni 3.10, 1 Cu 3.23
Ni: 0.4909 0.3147 0.6983  4 Pm 2.75-2.86
Pm: 0.5865 0.0857 0.3498  2 Ni 2.75-2.82
Ni: 0.4909 0.6983 0.3147  4 Pm 2.75-2.86
Pm: 0.3661 0.6539 0.9199  2 Ni 2.77-2.86, 1 Cu 3.01
Pm: 0.9819 0.7807 0.2121  1 Cu 3.01, 2 Ni 3.26-3.32

***

Model ii:
Here is a relaxed Pm8CuNi2 crystal from Alexandria. Energies are from PBE.

Results
SG: No. 12
N(E_F), states/eV per cell: 10.58

Cell: 5.1552 6.7259 9.4188 Å, 107.85 105.88 90.00°
With the nearest neighbours (Å) after each atom.
Element x y z (fractional)
Pm: 0.3227 0.9953 0.6453  1 Ni 2.73
Pm: 0.9673 0.2094 0.9347  1 Ni 2.67
Pm: 0.6773 0.0047 0.3547  1 Ni 2.73
Pm: 0.8012 0.6529 0.6025  1 Ni 2.80
Cu: 0.5000 0.0000 0.0000  8 Pm 3.07-3.20
Ni: 0.1719 0.7351 0.3439  3 Pm 2.67-2.80
Pm: 0.4073 0.5294 0.8146  1 Cu 3.07, 2 Ni 3.20, 1 Pm 3.43
Ni: 0.8281 0.2649 0.6561  3 Pm 2.67-2.80
Pm: 0.5927 0.4706 0.1854  1 Cu 3.07, 2 Ni 3.20, 1 Pm 3.43
Pm: 0.0327 0.7906 0.0653  1 Ni 2.67
Pm: 0.1988 0.3471 0.3975  1 Ni 2.80

***

model ii ends up most stable, edging out the next structure by 107 meV per atom.

***

Model i:
Here is a relaxed Pm3Cu2Ni3 crystal from Alexandria. Energies are from PBE.

Results
SG: No. 63
N(E_F), states/eV per cell: 10.17

Cell: 4.0976 5.6892 14.1349 Å, 90.00 90.00 111.11°
With the nearest neighbours (Å) after each atom.
Element x y z (fractional)
Ni: 0.3985 0.7970 0.9607  1 Ni 2.43, 2 Cu 2.45
Ni: 0.3985 0.7970 0.5393  1 Ni 2.43, 2 Cu 2.45
Cu: 0.2028 0.4057 0.0968  3 Ni 2.45-2.55
Pm: 0.9039 0.8078 0.1040  6 Ni 2.88-3.07, 4 Cu 2.96-3.17
Pm: 0.3734 0.7469 0.7500  5 Ni 2.98-3.14, 4 Cu 3.09
Cu: 0.7972 0.5943 0.9032  3 Ni 2.45-2.55
Ni: 0.6015 0.2030 0.4607  1 Ni 2.43, 2 Cu 2.45
Pm: 0.9039 0.8078 0.3960  6 Ni 2.88-3.07, 4 Cu 2.96-3.17
Ni: 0.6015 0.2030 0.0393  1 Ni 2.43, 2 Cu 2.45
Pm: 0.6266 0.2531 0.2500  5 Ni 2.98-3.14, 4 Cu 3.09
Cu: 0.2028 0.4057 0.4032  3 Ni 2.45-2.55
Ni: 0.6695 0.3390 0.7500  2 Cu 2.55
Cu: 0.7972 0.5943 0.5968  3 Ni 2.45-2.55
Ni: 0.3305 0.6610 0.2500  2 Cu 2.55
Pm: 0.0961 0.1922 0.6040  6 Ni 2.88-3.07, 4 Cu 2.96-3.17
Pm: 0.0961 0.1922 0.8960  6 Ni 2.88-3.07, 4 Cu 2.96-3.17

***

Model ii:
Here is a relaxed Pm3Cu2Ni3 crystal from Alexandria. Energies are from PBE.

Results
SG: No. 62
N(E_F), states/eV per cell: 16.42

Cell: 5.5022 7.3512 15.0882 Å, 90.00 90.00 90.00°
With the nearest neighbours (Å) after each atom.
Element x y z (fractional)
Pm: 0.1168 0.1699 0.7500  3 Ni 2.90-2.98, 4 Cu 2.97-3.03
Pm: 0.8618 0.5321 0.6025  6 Ni 2.87-3.10, 3 Cu 2.96-2.99
Pm: 0.6382 0.0321 0.8975  6 Ni 2.87-3.10, 3 Cu 2.96-2.99
Ni: 0.5864 0.3271 0.0327  3 Cu 2.43-2.48
Cu: 0.6361 0.6216 0.1078  4 Ni 2.43-2.58
Cu: 0.8639 0.1216 0.3922  4 Ni 2.43-2.58
Pm: 0.6382 0.0321 0.6025  6 Ni 2.87-3.10, 3 Cu 2.96-2.99
Ni: 0.9136 0.8271 0.0327  3 Cu 2.43-2.48
Pm: 0.8832 0.8301 0.2500  3 Ni 2.90-2.98, 4 Cu 2.97-3.03
Cu: 0.8639 0.1216 0.1078  4 Ni 2.43-2.58
Ni: 0.3889 0.6855 0.2500  2 Cu 2.58
Cu: 0.1361 0.8784 0.6078  4 Ni 2.43-2.58
Ni: 0.9136 0.8271 0.4673  3 Cu 2.43-2.48
Cu: 0.3639 0.3784 0.8922  4 Ni 2.43-2.58
Ni: 0.5864 0.3271 0.4673  3 Cu 2.43-2.48
Pm: 0.1382 0.4679 0.1025  6 Ni 2.87-3.10, 3 Cu 2.96-2.99
Pm: 0.3832 0.6699 0.7500  3 Ni 2.90-2.98, 4 Cu 2.97-3.03
Ni: 0.0864 0.1729 0.9673  3 Cu 2.43-2.48
Pm: 0.3618 0.9679 0.3975  6 Ni 2.87-3.10, 3 Cu 2.96-2.99
Pm: 0.1382 0.4679 0.3975  6 Ni 2.87-3.10, 3 Cu 2.96-2.99
Ni: 0.0864 0.1729 0.5327  3 Cu 2.43-2.48
Cu: 0.3639 0.3784 0.6078  4 Ni 2.43-2.58
Ni: 0.4136 0.6729 0.9673  3 Cu 2.43-2.48
Pm: 0.6168 0.3301 0.2500  3 Ni 2.90-2.98, 4 Cu 2.97-3.03
Cu: 0.6361 0.6216 0.3922  4 Ni 2.43-2.58
Pm: 0.8618 0.5321 0.8975  6 Ni 2.87-3.10, 3 Cu 2.96-2.99
Ni: 0.8889 0.8145 0.7500  2 Cu 2.58
Pm: 0.3618 0.9679 0.1025  6 Ni 2.87-3.10, 3 Cu 2.96-2.99
Cu: 0.1361 0.8784 0.8922  4 Ni 2.43-2.58
Ni: 0.6111 0.3145 0.7500  2 Cu 2.58
Ni: 0.1111 0.1855 0.2500  2 Cu 2.58
Ni: 0.4136 0.6729 0.5327  3 Cu 2.43-2.48

***

model i ends up most stable, edging out the next structure by 20 meV per atom.

***

Model i:
Here is a relaxed PmCuNi crystal from Alexandria. Energies are from PBE.

Results
SG: No. 216
N(E_F), states/eV per cell: 1.67

Cell: 4.4234 4.4234 4.4234 Å, 60.00 60.00 60.00°
With the nearest neighbours (Å) after each atom.
Element x y z (fractional)
Pm: 0.5000 0.5000 0.5000  4 Ni 2.71
Ni: 0.2500 0.2500 0.2500  4 Cu 2.71, 4 Pm 2.71
Cu: 0.0000 0.0000 0.0000  4 Ni 2.71

***

Model ii:
Here is a relaxed PmCuNi crystal from Alexandria. Energies are from PBE.

Results
SG: No. 15
N(E_F), states/eV per cell: 10.30

Cell: 4.1396 9.1319 9.7529 Å, 108.17 90.00 103.10°
With the nearest neighbours (Å) after each atom.
Element x y z (fractional)
Ni: 0.0000 0.0000 0.0000  2 Cu 2.43, 2 Pm 2.72
Ni: 0.9233 0.3636 0.3843  4 Cu 2.45-2.60, 1 Ni 2.73
Pm: 0.1009 0.6858 0.3431  5 Ni 2.83-3.02, 3 Cu 2.96-3.03
Cu: 0.0000 0.5000 0.0000  2 Cu 2.42, 4 Ni 2.45-2.51
Cu: 0.6610 0.7871 0.5747  1 Cu 2.42, 3 Ni 2.43-2.60
Pm: 0.7100 0.0000 0.2500  2 Ni 2.72, 4 Cu 2.89-3.02
Cu: 0.8739 0.2129 0.9253  1 Cu 2.42, 3 Ni 2.43-2.60
Ni: 0.4403 0.3636 0.8843  4 Cu 2.45-2.60, 1 Ni 2.73
Pm: 0.5849 0.6858 0.8431  5 Ni 2.83-3.02, 3 Cu 2.96-3.03
Ni: 0.0767 0.6364 0.6157  4 Cu 2.45-2.60, 1 Ni 2.73
Ni: 0.0000 0.0000 0.5000  2 Cu 2.43, 2 Pm 2.72
Cu: 0.3390 0.2129 0.4253  1 Cu 2.42, 3 Ni 2.43-2.60
Ni: 0.5597 0.6364 0.1157  4 Cu 2.45-2.60, 1 Ni 2.73
Pm: 0.2900 0.0000 0.7500  2 Ni 2.72, 4 Cu 2.89-3.02
Cu: 0.5000 0.5000 0.5000  2 Cu 2.42, 4 Ni 2.45-2.51
Pm: 0.4151 0.3142 0.1569  5 Ni 2.83-3.02, 3 Cu 2.96-3.03
Pm: 0.8991 0.3142 0.6569  5 Ni 2.83-3.02, 3 Cu 2.96-3.03
Cu: 0.1261 0.7871 0.0747  1 Cu 2.42, 3 Ni 2.43-2.60

***

Model iii:
Here is a relaxed PmCuNi crystal from Alexandria. Energies are from PBE.

Results
SG: No. 187
N(E_F), states/eV per cell: 2.11

Cell: 3.7364 4.1825 4.1825 Å, 120.00 90.00 90.00°
With the nearest neighbours (Å) after each atom.
Element x y z (fractional)
Pm: 0.6666 0.3333 0.6667  6 Ni 3.05, 6 Cu 3.05
Cu: 0.1666 0.6667 0.3333  3 Ni 2.41
Ni: 0.1667 0.0000 0.0000  3 Cu 2.41

***

model iii ends up most stable, edging out the next structure by 61 meV per atom.

***

Model i:
Here is a relaxed Pm8Cu2Ni crystal from Alexandria. Energies are from PBE.

Results
SG: No. 12
N(E_F), states/eV per cell: 11.04

Cell: 5.1432 6.8169 9.2093 Å, 102.55 106.21 90.00°
With the nearest neighbours (Å) after each atom.
Element x y z (fractional)
Pm: 0.4115 0.5557 0.8231  1 Ni 3.08, 3 Pm 3.38-3.43
Pm: 0.7997 0.6654 0.5995  1 Cu 2.83
Pm: 0.0314 0.7858 0.0628  1 Cu 2.88, 2 Ni 3.07
Pm: 0.5885 0.4443 0.1769  1 Ni 3.08, 3 Pm 3.38-3.43
Ni: 0.5000 0.0000 0.0000  8 Pm 2.94-3.08
Pm: 0.3365 0.0263 0.6731  3 Cu 2.86-3.11, 1 Ni 2.94
Pm: 0.2003 0.3346 0.4005  1 Cu 2.83
Cu: 0.1899 0.7422 0.3798  5 Pm 2.83-3.11
Pm: 0.6635 0.9737 0.3269  3 Cu 2.86-3.11, 1 Ni 2.94
Cu: 0.8101 0.2578 0.6202  5 Pm 2.83-3.11
Pm: 0.9686 0.2142 0.9372  1 Cu 2.88, 2 Ni 3.07

***

Model ii:
Here is a relaxed Pm8Cu2Ni crystal from Alexandria. Energies are from PBE.

Results
SG: No. 8
N(E_F), states/eV per cell: 15.18

Cell: 6.0903 7.7365 7.7365 Å, 107.10 103.75 103.75°
With the nearest neighbours (Å) after each atom.
Element x y z (fractional)
Ni: 0.2777 0.9947 0.9947  6 Pm 2.72-2.94
Pm: 0.9519 0.1484 0.8555  1 Ni 2.72
Cu: 0.4957 0.7088 0.3131  6 Pm 2.84-3.06
Pm: 0.6284 0.1047 0.3750  2 Cu 2.84-3.01, 1 Ni 2.94
Pm: 0.7636 0.6351 0.6351  2 Cu 2.92
Pm: 0.3037 0.6196 0.9070  1 Ni 2.83, 2 Cu 2.88-3.06
Pm: 0.9519 0.8555 0.1484  1 Ni 2.72
Pm: 0.1990 0.3720 0.3720  2 Cu 3.02, 1 Pm 3.32
Cu: 0.4957 0.3131 0.7088  6 Pm 2.84-3.06
Pm: 0.6284 0.3750 0.1047  2 Cu 2.84-3.01, 1 Ni 2.94
Pm: 0.3037 0.9070 0.6196  1 Ni 2.83, 2 Cu 2.88-3.06

***

model i ends up most stable, edging out the next structure by 87 meV per atom.

***

Model i:
Here is a relaxed PmCu4Ni crystal from Alexandria. Energies are from PBE.

Results
SG: No. 51
N(E_F), states/eV per cell: 4.87

Cell: 3.8449 6.6421 7.2789 Å, 90.00 90.00 90.00°
With the nearest neighbours (Å) after each atom.
Element x y z (fractional)
Cu: 0.5000 0.0366 0.2500  8 Cu 2.55-2.72, 2 Ni 2.57
Pm: 0.0000 0.6074 0.7500  1 Ni 2.58
Cu: 0.5000 0.2800 0.5507  2 Ni 2.44, 4 Cu 2.55-2.72
Cu: 0.5000 0.2800 0.9493  2 Ni 2.44, 4 Cu 2.55-2.72
Cu: 0.0000 0.0000 0.0000  2 Ni 2.33
Cu: 0.0000 0.0000 0.5000  2 Ni 2.33
Ni: 0.0000 0.2191 0.7500  8 Cu 2.33-2.57, 1 Pm 2.58
Cu: 0.5000 0.7200 0.0507  2 Ni 2.44, 4 Cu 2.55-2.72
Cu: 0.5000 0.7200 0.4493  2 Ni 2.44, 4 Cu 2.55-2.72
Cu: 0.5000 0.9634 0.7500  8 Cu 2.55-2.72, 2 Ni 2.57
Pm: 0.0000 0.3926 0.2500  1 Ni 2.58
Ni: 0.0000 0.7809 0.2500  8 Cu 2.33-2.57, 1 Pm 2.58

***

Model ii:
Here is a relaxed PmCu4Ni crystal from Alexandria. Energies are from PBE.

Results
SG: No. 216
N(E_F), states/eV per cell: 3.23

Cell: 4.9959 4.9959 4.9959 Å, 60.00 60.00 60.00°
With the nearest neighbours (Å) after each atom.
Element x y z (fractional)
Cu: 0.6265 0.6265 0.1205  6 Cu 2.47-2.53
Cu: 0.1205 0.6265 0.6265  6 Cu 2.47-2.53
Ni: 0.0000 0.0000 0.0000  12 Cu 2.93, 4 Pm 3.06
Cu: 0.6265 0.6265 0.6265  6 Cu 2.47-2.53
Cu: 0.6265 0.1205 0.6265  6 Cu 2.47-2.53
Pm: 0.2500 0.2500 0.2500  12 Cu 2.93, 4 Ni 3.06

***

model ii ends up most stable, edging out the next structure by 44 meV per atom.

***

Model i:
Here is a relaxed Pm12CuNi6 crystal from Alexandria. Energies are from PBE.

Results
SG: No. 204
N(E_F), states/eV per cell: 19.51

Cell: 8.5689 8.5689 8.5689 Å, 109.47 109.47 109.47°
With the nearest neighbours (Å) after each atom.
Element x y z (fractional)
Pm: 0.6969 0.5113 0.8144  3 Ni 2.71-2.94
Ni: 0.8766 0.3766 0.5000  1 Ni 2.44, 2 Pm 2.71
Ni: 0.5000 0.1234 0.6234  1 Ni 2.44, 2 Pm 2.71
Ni: 0.1234 0.6234 0.5000  1 Ni 2.44, 2 Pm 2.71
Pm: 0.1856 0.6969 0.8825  3 Ni 2.71-2.94
Ni: 0.3766 0.5000 0.8766  1 Ni 2.44, 2 Pm 2.71
Pm: 0.8825 0.1856 0.6969  3 Ni 2.71-2.94
Pm: 0.8144 0.6969 0.5113  3 Ni 2.71-2.94
Pm: 0.5113 0.8144 0.6969  3 Ni 2.71-2.94
Ni: 0.5000 0.8766 0.3766  1 Ni 2.44, 2 Pm 2.71
Pm: 0.6969 0.8825 0.1856  3 Ni 2.71-2.94
Pm: 0.8144 0.3031 0.1175  3 Ni 2.71-2.94
Pm: 0.1856 0.3031 0.4887  3 Ni 2.71-2.94
Ni: 0.6234 0.5000 0.1234  1 Ni 2.44, 2 Pm 2.71
Pm: 0.3031 0.4887 0.1856  3 Ni 2.71-2.94
Pm: 0.4887 0.1856 0.3031  3 Ni 2.71-2.94
Pm: 0.3031 0.1175 0.8144  3 Ni 2.71-2.94
Pm: 0.1175 0.8144 0.3031  3 Ni 2.71-2.94
Cu: 0.0000 0.0000 0.0000  12 Pm 3.52

***

Model ii:
Here is a relaxed Pm12CuNi6 crystal from Alexandria. Energies are from PBE.

Results
SG: No. 148
N(E_F), states/eV per cell: 23.54

Cell: 8.2079 8.2079 8.2079 Å, 99.38 99.38 99.38°
With the nearest neighbours (Å) after each atom.
Element x y z (fractional)
Pm: 0.4115 0.5743 0.1807  3 Ni 2.73-2.93
Ni: 0.6118 0.3122 0.1316  5 Pm 2.73-2.93
Pm: 0.1807 0.4115 0.5743  3 Ni 2.73-2.93
Pm: 0.5743 0.1807 0.4115  3 Ni 2.73-2.93
Pm: 0.9401 0.3253 0.0903  2 Ni 2.76-2.79, 1 Cu 2.80
Cu: 0.0000 0.0000 0.0000  6 Pm 2.80
Ni: 0.6878 0.8684 0.3882  5 Pm 2.73-2.93
Ni: 0.1316 0.6118 0.3122  5 Pm 2.73-2.93
Pm: 0.3253 0.0903 0.9401  2 Ni 2.76-2.79, 1 Cu 2.80
Pm: 0.4257 0.8193 0.5885  3 Ni 2.73-2.93
Ni: 0.3122 0.1316 0.6118  5 Pm 2.73-2.93
Pm: 0.6747 0.9097 0.0599  2 Ni 2.76-2.79, 1 Cu 2.80
Pm: 0.8193 0.5885 0.4257  3 Ni 2.73-2.93
Ni: 0.3882 0.6878 0.8684  5 Pm 2.73-2.93
Ni: 0.8684 0.3882 0.6878  5 Pm 2.73-2.93
Pm: 0.0903 0.9401 0.3253  2 Ni 2.76-2.79, 1 Cu 2.80
Pm: 0.0599 0.6747 0.9097  2 Ni 2.76-2.79, 1 Cu 2.80
Pm: 0.5885 0.4257 0.8193  3 Ni 2.73-2.93
Pm: 0.9097 0.0599 0.6747  2 Ni 2.76-2.79, 1 Cu 2.80

***

model i ends up most stable, edging out the next structure by 127 meV per atom.